{"formula": "CaAcCu", "functional": "GGA-PBE", "state": "optimized geometry", "lattice_angstrom": [[-0.052, -0.962, 3.895], [6.621, -1.516, 1.781], [2.503, 6.139, 3.617]], "species": ["Ca", "Ca", "Ac", "Ac", "Cu", "Cu"], "frac_coords": [[0.897, 0.438, 0.646], [0.239, 0.903, 0.496], [0.659, 0.379, 0.181], [0.477, 0.962, 0.961], [0.954, 0.725, 0.245], [0.182, 0.617, 0.896]], "ef_ev_per_atom": -0.075, "n_ef_per_ev_cell": 6.2, "vol_a3_per_cell": 192.75, "de_polymorph_ev_per_fu": 0.000}

---

{"formula": "CaAcCu", "functional": "GGA-PBE", "state": "optimized geometry", "lattice_angstrom": [[4.358, 0.000, 0.000], [0.000, 5.010, 0.000], [0.000, -2.505, 4.339]], "species": ["Ac", "Ca", "Cu"], "frac_coords": [[0.052, 0.000, 0.000], [0.557, 0.667, 0.333], [0.390, 0.333, 0.667]], "ef_ev_per_atom": 0.136, "n_ef_per_ev_cell": 2.1, "vol_a3_per_cell": 94.74, "de_polymorph_ev_per_fu": 0.635}

---

{"formula": "CaAc2Cu2", "functional": "GGA-PBE", "state": "optimized geometry", "lattice_angstrom": [[4.195, 0.000, 0.000], [0.000, 4.426, -1.258], [0.000, -0.045, 8.253]], "species": ["Ca", "Ac", "Ac", "Cu", "Cu"], "frac_coords": [[0.000, 0.000, 0.000], [0.500, 0.647, 0.293], [0.500, 0.353, 0.707], [0.000, 0.206, 0.411], [0.000, 0.794, 0.589]], "ef_ev_per_atom": -0.117, "n_ef_per_ev_cell": 4.8, "vol_a3_per_cell": 152.99, "de_polymorph_ev_per_fu": 0.000}

---

{"formula": "Ca3AcCu2", "functional": "GGA-PBE", "state": "optimized geometry", "lattice_angstrom": [[4.142, 0.000, 0.835], [1.747, 8.586, 2.027], [-0.004, 0.033, 10.712]], "species": ["Ca", "Ca", "Ca", "Ca", "Ca", "Ca", "Ac", "Ac", "Cu", "Cu", "Cu", "Cu"], "frac_coords": [[0.154, 0.940, 0.751], [0.846, 0.060, 0.249], [0.415, 0.225, 0.945], [0.585, 0.775, 0.055], [0.584, 0.265, 0.567], [0.416, 0.735, 0.433], [0.843, 0.572, 0.742], [0.157, 0.428, 0.258], [0.235, 0.575, 0.955], [0.765, 0.425, 0.045], [0.766, 0.925, 0.543], [0.234, 0.075, 0.457]], "ef_ev_per_atom": -0.098, "n_ef_per_ev_cell": 10.6, "vol_a3_per_cell": 380.78}

---

{"formula": "CaAcCu", "functional": "GGA-PBE", "state": "optimized geometry", "lattice_angstrom": [[5.202, 0.000, 0.000], [2.601, 4.505, 0.000], [2.601, 1.502, 4.248]], "species": ["Ac", "Ca", "Cu"], "frac_coords": [[0.000, 0.000, 0.000], [0.500, 0.500, 0.500], [0.250, 0.250, 0.250]], "ef_ev_per_atom": 0.064, "n_ef_per_ev_cell": 4.4, "vol_a3_per_cell": 99.56, "de_polymorph_ev_per_fu": 0.418}

---

{"formula": "CaAcCu", "functional": "GGA-PBE", "state": "optimized geometry", "lattice_angstrom": [[-2.382, 3.751, -3.757], [-6.859, -2.651, 1.701], [-0.734, 6.113, 6.568]], "species": ["Ca", "Ca", "Ca", "Ca", "Ac", "Ac", "Ac", "Ac", "Cu", "Cu", "Cu", "Cu"], "frac_coords": [[0.250, 0.832, 0.452], [0.750, 0.332, 0.048], [0.250, 0.668, 0.952], [0.750, 0.168, 0.548], [0.750, 0.857, 0.178], [0.750, 0.643, 0.678], [0.250, 0.143, 0.822], [0.250, 0.357, 0.322], [0.750, 0.506, 0.354], [0.750, 0.994, 0.854], [0.250, 0.006, 0.146], [0.250, 0.494, 0.646]], "ef_ev_per_atom": 0.009, "n_ef_per_ev_cell": 15.6, "vol_a3_per_cell": 395.35, "de_polymorph_ev_per_fu": 0.254}